! LaPmPr3Y | Alexandria via LeMat-Bulk | PBE | optimized geometry; values from VASP
&SYSTEM
  ibrav = 0, nat = 12, ntyp = 4
/
ATOMIC_SPECIES
La 138.91 La.upf
Pm 145.00 Pm.upf
Pr 140.91 Pr.upf
Y 88.91 Y.upf
CELL_PARAMETERS angstrom
8.2169 0.0000 0.0000
0.0000 5.2387 0.0000
-3.3109 0.0000 9.8926
ATOMIC_POSITIONS crystal
La 0.1687 0.2500 0.2916
La 0.8313 0.7500 0.7084
Pm 0.5000 0.2500 0.6264
Pm 0.5000 0.7500 0.3736
Pr 0.1690 0.2500 0.7924
Pr 0.1694 0.7500 0.5430
Pr 0.1696 0.7500 0.0415
Pr 0.8304 0.2500 0.9585
Pr 0.8306 0.2500 0.4570
Pr 0.8310 0.7500 0.2076
Y 0.4982 0.7500 0.8764
Y 0.5018 0.2500 0.1236
! **Formation energy from the elements**: 10 kJ/mol of formula units
! **Density**: 6.20 g/cm³
! **Space-group type**: P2_1/m (11)
! **Volume**: 35.49 Å³/atom